# 1
Computed, not measured: DyZnGaCu after structural relaxation at the PBE-GGA level of DFT.

ΔE_f = -320.5 meV per atom
E_tot = -57.1 eV/cell
Mass density = 8595 kg/m3
Calculated volume = 279 Å³ per cell

a b c (Å): 6.535 6.535 6.535
angles (deg): 90.00 90.00 90.00
Space group F-43m (No. 216)
Unique sites:
Dy 0.000 0.000 0.000 x4
Zn 0.250 0.250 0.250 x4
Ga 0.000 0.000 0.500 x4
Cu 0.250 0.250 0.750 x4



# 2
Computed, not measured: DyZn8Ga2Cu after structural relaxation at the PBE-GGA level of DFT.

ΔE_f = -85.6 meV per atom
E_tot = -51.9 eV/cell
Mass density = 7211 kg/m3
Calculated volume = 409 Å³ per cell

a b c (Å): 7.402 4.910 11.495
angles (deg): 90.00 101.54 90.00
Space group C2/m (No. 12)
Unique sites:
Dy 0.000 0.000 0.000 x2
Zn 0.047 0.248 0.317 x8
Zn 0.173 0.500 0.540 x4
Zn 0.241 0.500 0.170 x4
Ga 0.123 0.500 0.874 x4
Cu 0.000 0.000 0.500 x2



# 3
Computed, not measured: DyZrGaCu after structural relaxation at the PBE-GGA level of DFT.

ΔE_f = -309.4 meV per atom
E_tot = -86.0 eV/cell
Mass density = 7992 kg/m3
Calculated volume = 322 Å³ per cell

a b c (Å): 6.852 6.852 6.852
angles (deg): 90.00 90.00 90.00
Space group F-43m (No. 216)
Unique sites:
Dy 0.000 0.000 0.000 x4
Zr 0.000 0.000 0.500 x4
Ga 0.250 0.250 0.750 x4
Cu 0.250 0.250 0.250 x4



# 4
Computed, not measured: GdDy2Cu after structural relaxation at the PBE-GGA level of DFT.

ΔE_f = -92.7 meV per atom
E_tot = -27.8 eV/cell
Mass density = 8521 kg/m3
Distance to the lowest polymorph of the same formula = 0.0 meV per atom
Calculated volume = 106 Å³ per cell

a b c (Å): 3.497 3.497 8.696
angles (deg): 90.00 90.00 90.00
Space group P4/mmm (No. 123)
Unique sites:
Gd 0.000 0.000 0.000 x1
Dy 0.500 0.500 0.305 x2
Cu 0.000 0.000 0.500 x1



Which formula does entry 1 have?
DyZnGaCu